8
Lattice="-2.213 2.213 6.994 2.213 -2.213 6.994 2.213 2.213 -6.994" Properties=species:S:1:pos:R:3 comment="OsBrF2 PBE-GGA relaxed" e_above_lowest_polymorph_ev_per_fu=2.792 e_form_raw_ev_per_fu=0.3 pbc="T T T"
Os 0.000 2.213 3.497
Os 0.000 0.000 0.000
Br 2.213 0.000 3.497
Br 0.000 0.000 6.994
F 1.107 2.280 5.246
F -1.107 2.146 5.246
F 0.067 1.107 1.749
F -0.067 3.320 1.749

***

15
Lattice="9.484 0.001 -0.001 -4.741 8.208 -0.028 -0.002 -5.440 8.270" Properties=species:S:1:pos:R:3 comment="NpTl3Ga3I8 PBE-GGA relaxed" e_form_raw_ev_per_fu=-7.7 pbc="T T T"
Np -0.001 -2.720 4.135
Tl 0.000 0.000 0.000
Tl -2.371 4.104 -0.014
Tl 2.372 4.105 -0.015
Ga 4.741 -2.719 4.135
Ga 2.371 1.385 4.121
Ga -2.371 1.384 4.121
I 0.000 2.745 2.225
I 4.741 0.024 6.016
I 4.742 2.845 2.294
I -0.001 -0.076 5.947
I 7.200 -1.408 2.308
I -2.458 4.178 5.933
I 2.284 -1.409 2.309
I 2.457 4.178 5.932

***

| no. | calculated total energy (eV/atom) |
| --- | --- |
| 1 | -4.09 |
| 2 | -3.28 |